Material: MnCd9O10
Method: DFT, PBE+U
State: relaxed

**Space-group type**: P-1, No. 2
**Magnetization**: 5.0 Bohr magnetons per cell
**VASP energy**: -4.339 eV/atom

abc: 5.8233 6.7222 7.5318
angles: 102.88 97.51 106.80
Each line ends with the local moment (μB).
Element x y z (fractional)
O (0.7093, 0.6629, 0.9048)  0.01
O (0.8965, 0.5500, 0.3007)  0.00
O (0.0980, 0.9524, 0.7103)  0.02
O (0.1035, 0.4500, 0.6993)  0.00
O (0.7145, 0.1446, 0.9040)  0.01
O (0.5021, 0.2500, 0.5041)  0.01
O (0.9020, 0.0476, 0.2897)  0.02
O (0.4979, 0.7500, 0.4959)  0.01
O (0.2907, 0.3371, 0.0952)  0.01
O (0.2855, 0.8554, 0.0960)  0.01
Cd (0.1966, 0.9006, 0.4011)  0.00
Cd (0.4006, 0.8017, 0.8002)  0.00
Cd (0.0000, 0.5000, 0.0000)  0.00
Cd (0.5994, 0.1983, 0.1998)  0.00
Cd (0.1991, 0.3984, 0.3984)  0.00
Cd (0.4050, 0.3004, 0.8027)  0.01
Cd (0.8034, 0.0994, 0.5989)  0.00
Cd (0.5950, 0.6996, 0.1973)  0.01
Cd (0.8009, 0.6016, 0.6016)  0.00
Mn (0.0000, 0.0000, 0.0000)  4.62